An optimized crystal structure of K4NdSm3Te8. Source: the Alexandria database, functional PBE-GGA.

Calculated values
The calculation puts the formation energy (no corrections) at -1.41 eV per atom. For the calculated volume, the calculation gives 600.97 Å³/f.u.

a = 9.1670 Å, b = 9.8110 Å, c = 9.1681 Å
α = 117.89°, β = 120.00°, γ = 90.00°
Positions (direct):
1 Te 0.2646 0.2866 0.0254
2 Te 0.7609 0.2867 0.5217
3 Te 0.7354 0.7134 0.9746
4 Te 0.2391 0.7134 0.9746
5 Te 0.2625 0.2879 0.5250
6 Te 0.7375 0.7121 0.4750
7 Te 0.7609 0.2866 0.0254
8 Te 0.2391 0.7133 0.4783
9 K 0.5000 0.0000 0.0000
10 K 0.5000 0.0000 0.5000
11 K 0.0000 0.0000 0.5000
12 K 0.0000 0.0000 0.0000
13 Sm 0.0000 0.5000 0.5000
14 Sm 0.5000 0.5000 0.0000
15 Sm 0.5000 0.5000 0.5000
16 Nd 0.0000 0.5000 0.0000

***

An optimized crystal structure of K4Nd3SmTe8. Source: the Alexandria database, functional PBE-GGA.

Calculated values
The calculation puts the formation energy (no corrections) at -1.42 eV per atom. For the calculated volume, the calculation gives 607.70 Å³/f.u.

a = 9.2178 Å, b = 9.8276 Å, c = 9.2186 Å
α = 118.01°, β = 120.00°, γ = 90.00°
Positions (direct):
1 Sm 0.0000 0.5000 0.0000
2 Nd 0.5000 0.5000 0.5000
3 Nd 0.0000 0.5000 0.5000
4 Nd 0.5000 0.5000 0.0000
5 K 0.0000 0.0000 0.0000
6 K 0.0000 0.0000 0.5000
7 K 0.5000 0.0000 0.0000
8 K 0.5000 0.0000 0.5000
9 Te 0.2368 0.7138 0.9774
10 Te 0.7632 0.2862 0.0226
11 Te 0.7632 0.2861 0.5264
12 Te 0.7406 0.7138 0.9774
13 Te 0.7385 0.7151 0.4770
14 Te 0.2368 0.7139 0.4736
15 Te 0.2615 0.2849 0.5230
16 Te 0.2594 0.2862 0.0226